# 1
Compound: ErTm2Th3S6
Source: Alexandria via LeMat-Bulk
Functional: PBE-GGA
Structure: optimized geometry

Cell: 6.6580 6.6580 7.1383 Å, 98.93 98.93 119.77°
Closest atoms and distances in Å follow each position.
Fractional coordinates of all 12 atoms:
S (0.7412, 0.7412, 0.2274)  2 Tm 2.70, 1 Er 2.71, 3 Th 2.89
S (0.4105, 0.0759, 0.2279)  2 Tm 2.70, 1 Er 2.71, 3 Th 2.89
S (0.5895, 0.9241, 0.7721)  2 Tm 2.70, 1 Er 2.71, 3 Th 2.89
S (0.2588, 0.2588, 0.7726)  2 Tm 2.70, 1 Er 2.71, 3 Th 2.89
S (0.0759, 0.4105, 0.2279)  2 Tm 2.70, 1 Er 2.71, 3 Th 2.89
S (0.9241, 0.5895, 0.7721)  2 Tm 2.70, 1 Er 2.71, 3 Th 2.89
Th (0.1663, 0.8337, 0.5000)  6 S 2.89
Th (0.5000, 0.5000, 0.5000)  6 S 2.89
Th (0.8337, 0.1663, 0.5000)  6 S 2.89
Tm (0.3333, 0.6667, 0.0000)  6 S 2.70
Tm (0.6667, 0.3333, 0.0000)  6 S 2.70
Er (0.0000, 0.0000, 0.0000)  6 S 2.71

Results
The formation energy (no corrections) is -22.6 eV/f.u. The total magnetization comes out at 0.0 μB/f.u. As for the volume: 261.2 Å³/f.u. The value obtained for the total DFT energy (no corrections) is -6.93 eV/atom.

***

# 2
Compound: Y3Er2ThS6
Source: Alexandria via LeMat-Bulk
Functional: PBE-GGA
Structure: optimized geometry

Cell: 3.9154 7.8778 8.7615 Å, 102.60 102.91 90.00°
Closest atoms and distances in Å follow each position.
Fractional coordinates of all 12 atoms:
S (0.9975, 0.7383, 0.9950)  1 Er 2.70, 3 Y 2.72-2.74, 2 Th 2.84
S (0.3279, 0.9096, 0.6558)  2 Er 2.74, 3 Y 2.76-2.79, 1 Th 2.87
S (0.0025, 0.2616, 0.0050)  1 Er 2.70, 3 Y 2.72-2.74, 2 Th 2.84
S (0.6692, 0.5806, 0.3384)  3 Er 2.77, 3 Y 2.82
S (0.6721, 0.0904, 0.3442)  2 Er 2.74, 3 Y 2.76-2.79, 1 Th 2.87
S (0.3308, 0.4194, 0.6616)  3 Er 2.77, 3 Y 2.82
Er (0.8353, 0.6701, 0.6706)  6 S 2.70-2.77
Er (0.1647, 0.3299, 0.3294)  6 S 2.70-2.77
Th (0.5000, 0.0000, 0.0000)  6 S 2.84-2.87
Y (0.8378, 0.1660, 0.6756)  6 S 2.74-2.82
Y (0.1622, 0.8340, 0.3244)  6 S 2.74-2.82
Y (0.5000, 0.5000, 0.0000)  6 S 2.72-2.82

Results
The formation energy (no corrections) is -23.3 eV/f.u. The total magnetization comes out at 0.0 μB/f.u. As for the volume: 256.7 Å³/f.u. The value obtained for the total DFT energy (no corrections) is -7.00 eV/atom.

***

# 3
Compound: YEr3Th4S8
Source: Alexandria via LeMat-Bulk
Functional: PBE-GGA
Structure: optimized geometry

Cell: 7.7683 8.0813 7.7682 Å, 118.73 120.00 90.00°
Closest atoms and distances in Å follow each position.
Fractional coordinates of all 16 atoms:
Th (0.5000, 0.0000, 0.0000)  6 S 2.87
Th (0.0000, 0.0000, 0.5000)  6 S 2.88-2.89
Th (0.5000, 0.0000, 0.5000)  6 S 2.88-2.89
Th (0.0000, 0.0000, 0.0000)  6 S 2.88-2.89
Er (0.5000, 0.5000, 0.0000)  6 S 2.72
Er (0.0000, 0.5000, 0.5000)  6 S 2.72
Er (0.5000, 0.5000, 0.5000)  6 S 2.72
S (0.7551, 0.2686, 0.0135)  2 Er 2.72, 1 Y 2.74, 3 Th 2.87-2.88
S (0.2584, 0.2686, 0.0135)  2 Er 2.72, 1 Y 2.74, 3 Th 2.87-2.88
S (0.7416, 0.7314, 0.9865)  2 Er 2.72, 1 Y 2.74, 3 Th 2.87-2.88
S (0.2449, 0.7314, 0.9865)  2 Er 2.72, 1 Y 2.74, 3 Th 2.87-2.88
S (0.7433, 0.7300, 0.4866)  3 Er 2.72, 3 Th 2.89
S (0.2567, 0.2700, 0.5134)  3 Er 2.72, 3 Th 2.89
S (0.2449, 0.7314, 0.4898)  2 Er 2.72, 1 Y 2.74, 3 Th 2.87-2.88
S (0.7551, 0.2686, 0.5102)  2 Er 2.72, 1 Y 2.74, 3 Th 2.87-2.88
Y (0.0000, 0.5000, 0.0000)  6 S 2.74

Results
The formation energy (no corrections) is -30.5 eV/f.u. The total magnetization comes out at 0.0 μB/f.u. As for the volume: 351.3 Å³/f.u. The value obtained for the total DFT energy (no corrections) is -7.08 eV/atom.

***

# 4
Compound: Y3ErTh4S8
Source: Alexandria via LeMat-Bulk
Functional: PBE-GGA
Structure: optimized geometry

Cell: 7.8036 8.0938 7.8039 Å, 118.82 120.00 90.00°
Closest atoms and distances in Å follow each position.
Fractional coordinates of all 16 atoms:
S (0.2534, 0.2668, 0.0101)  1 Er 2.73, 2 Y 2.75, 3 Th 2.87-2.89
S (0.7449, 0.7346, 0.4897)  3 Y 2.75, 3 Th 2.87
S (0.2433, 0.7332, 0.9899)  1 Er 2.73, 2 Y 2.75, 3 Th 2.87-2.89
S (0.2551, 0.2654, 0.5103)  3 Y 2.75, 3 Th 2.87
S (0.7567, 0.2668, 0.5134)  1 Er 2.73, 2 Y 2.75, 3 Th 2.87-2.89
S (0.7466, 0.7332, 0.9899)  1 Er 2.73, 2 Y 2.75, 3 Th 2.87-2.89
S (0.2433, 0.7332, 0.4866)  1 Er 2.73, 2 Y 2.75, 3 Th 2.87-2.89
S (0.7567, 0.2668, 0.0101)  1 Er 2.73, 2 Y 2.75, 3 Th 2.87-2.89
Th (0.5000, 0.0000, 0.5000)  6 S 2.87
Th (0.0000, 0.0000, 0.5000)  6 S 2.87
Th (0.0000, 0.0000, 0.0000)  6 S 2.87
Th (0.5000, 0.0000, 0.0000)  6 S 2.89
Er (0.0000, 0.5000, 0.0000)  6 S 2.73
Y (0.0000, 0.5000, 0.5000)  6 S 2.75
Y (0.5000, 0.5000, 0.5000)  6 S 2.75
Y (0.5000, 0.5000, 0.0000)  6 S 2.75

Results
The formation energy (no corrections) is -30.6 eV/f.u. The total magnetization comes out at 0.0 μB/f.u. As for the volume: 354.6 Å³/f.u. The value obtained for the total DFT energy (no corrections) is -7.33 eV/atom.

***

# 5
Compound: Y2ErThS4
Source: Alexandria via LeMat-Bulk
Functional: PBE-GGA
Structure: optimized geometry

Cell: 3.9094 6.8234 6.8629 Å, 70.85 90.00 90.00°
Closest atoms and distances in Å follow each position.
Fractional coordinates of all 8 atoms:
Er (0.0000, 0.5000, 0.5000)  6 S 2.76-2.77
Th (0.5000, 0.5000, 0.0000)  6 S 2.84
S (0.0000, 0.7570, 0.7392)  3 Y 2.73-2.81, 1 Er 2.77, 2 Th 2.84
S (0.0000, 0.2430, 0.2608)  3 Y 2.73-2.81, 1 Er 2.77, 2 Th 2.84
S (0.5000, 0.7505, 0.2580)  3 Y 2.74-2.81, 2 Er 2.76, 1 Th 2.84
S (0.5000, 0.2495, 0.7420)  3 Y 2.74-2.81, 2 Er 2.76, 1 Th 2.84
Y (0.0000, 0.0000, 0.0000)  6 S 2.81
Y (0.5000, 0.0000, 0.5000)  6 S 2.73-2.74

Results
The formation energy (no corrections) is -15.4 eV/f.u. The total magnetization comes out at 0.0 μB/f.u. As for the volume: 172.9 Å³/f.u. The value obtained for the total DFT energy (no corrections) is -7.10 eV/atom.

***

# 6
Compound: Y2Er3ThS6
Source: Alexandria via LeMat-Bulk
Functional: PBE-GGA
Structure: optimized geometry

Cell: 3.9051 7.8589 8.7643 Å, 103.28 102.87 90.00°
Closest atoms and distances in Å follow each position.
Fractional coordinates of all 12 atoms:
S (0.6725, 0.0826, 0.3449)  3 Er 2.72-2.74, 2 Y 2.78, 1 Th 2.86
S (0.3275, 0.9174, 0.6551)  3 Er 2.72-2.74, 2 Y 2.78, 1 Th 2.86
S (0.3329, 0.4137, 0.6658)  3 Er 2.77, 3 Y 2.80-2.81
S (0.6671, 0.5863, 0.3342)  3 Er 2.77, 3 Y 2.80-2.81
S (0.0010, 0.7370, 0.0020)  3 Er 2.70-2.71, 1 Y 2.74, 2 Th 2.85
S (0.9990, 0.2630, 0.9980)  3 Er 2.70-2.71, 1 Y 2.74, 2 Th 2.85
Y (0.1640, 0.3288, 0.3280)  6 S 2.74-2.81
Y (0.8360, 0.6712, 0.6720)  6 S 2.74-2.81
Th (0.5000, 0.0000, 0.0000)  6 S 2.85-2.86
Er (0.8361, 0.1659, 0.6722)  6 S 2.71-2.77
Er (0.1639, 0.8341, 0.3278)  6 S 2.71-2.77
Er (0.5000, 0.5000, 0.0000)  6 S 2.70-2.77

Results
The formation energy (no corrections) is -23.3 eV/f.u. The total magnetization comes out at 0.0 μB/f.u. As for the volume: 254.8 Å³/f.u. The value obtained for the total DFT energy (no corrections) is -6.84 eV/atom.